1.
First-principles (PBE) data for a geometry-optimized TeC structure, as listed in Alexandria.

Computed properties:
VASP energy = -4.5579 eV/atom
ΔE_f (raw) = 314 kJ/mol of formula units
density = 6.0 Mg/m³
energy relative to the lowest polymorph listed for this composition = 1.74 eV/f.u.

CIF file:
```
data_TeC
_chemical_formula_sum 'Te2 C2'
_symmetry_space_group_name_H-M 'P 1 21/m 1'
_symmetry_Int_Tables_number 11
_symmetry_space_group_name_Hall '-P 2yb'
_cell_length_a 3.553
_cell_length_b 3.422
_cell_length_c 6.409
_cell_angle_alpha 90.00
_cell_angle_beta 94.08
_cell_angle_gamma 90.00
loop_
_atom_site_label
_atom_site_type_symbol
_atom_site_fract_x
_atom_site_fract_y
_atom_site_fract_z
_atom_site_occupancy
Te1 Te 0.184 0.250 0.203 1
C1 C 0.220 0.250 0.864 1
```

***

2.
First-principles (PBE) data for a geometry-optimized Te2C3 structure, as listed in Alexandria.

Computed properties:
VASP energy = -4.3824 eV/atom
ΔE_f (raw) = 1162 kJ/mol of formula units
density = 6.7 Mg/m³
energy relative to the lowest polymorph listed for this composition = 6.62 eV/f.u.

CIF file:
```
data_Te2C3
_chemical_formula_sum 'Te2 C3'
_symmetry_space_group_name_H-M 'P -3 m 1'
_symmetry_Int_Tables_number 164
_symmetry_space_group_name_Hall '-P 3 2"'
_cell_length_a 3.7918
_cell_length_b 3.7918
_cell_length_c 5.8346
_cell_angle_alpha 90.00
_cell_angle_beta 90.00
_cell_angle_gamma 120.00
loop_
_atom_site_label
_atom_site_type_symbol
_atom_site_fract_x
_atom_site_fract_y
_atom_site_fract_z
_atom_site_occupancy
Te1 Te 0.3333 0.6667 0.2571 1
C1 C 0.0000 0.0000 0.5000 1
C2 C 0.3333 0.6667 0.8652 1
```

***

3.
First-principles (PBE) data for a geometry-optimized Te2C structure, as listed in Alexandria.

Computed properties:
VASP energy = -4.0568 eV/atom
ΔE_f (raw) = 322 kJ/mol of formula units
density = 5.5 Mg/m³
energy relative to the lowest polymorph listed for this composition = 1.15 eV/f.u.

CIF file:
```
data_Te2C
_chemical_formula_sum 'Te6 C3'
_symmetry_space_group_name_H-M 'P -6 2 m'
_symmetry_Int_Tables_number 189
_symmetry_space_group_name_Hall 'P -6 -2'
_cell_length_a 6.1699
_cell_length_b 6.1699
_cell_length_c 7.4046
_cell_angle_alpha 90.00
_cell_angle_beta 90.00
_cell_angle_gamma 120.00
loop_
_atom_site_label
_atom_site_type_symbol
_atom_site_fract_x
_atom_site_fract_y
_atom_site_fract_z
_atom_site_occupancy
Te1 Te 0.0000 0.3183 0.0000 1
Te2 Te 0.0000 0.6613 0.5000 1
C1 C 0.0000 0.0000 0.5000 1
C2 C 0.3333 0.6667 0.0000 1
```

***

4.
First-principles (PBE) data for a geometry-optimized Te2C3 structure, as listed in Alexandria.

Computed properties:
VASP energy = -5.7062 eV/atom
ΔE_f (raw) = 523 kJ/mol of formula units
density = 3.1 Mg/m³
energy relative to the lowest polymorph listed for this composition = 0.00 eV/f.u.

CIF file:
```
data_Te2C3
_chemical_formula_sum 'Te16 C24'
_symmetry_space_group_name_H-M 'F d d 2'
_symmetry_Int_Tables_number 43
_symmetry_space_group_name_Hall 'F 2 -2d'
_cell_length_a 17.720
_cell_length_b 19.459
_cell_length_c 3.639
_cell_angle_alpha 90.00
_cell_angle_beta 90.00
_cell_angle_gamma 90.00
loop_
_atom_site_label
_atom_site_type_symbol
_atom_site_fract_x
_atom_site_fract_y
_atom_site_fract_z
_atom_site_occupancy
Te1 Te 0.082 0.312 0.000 1
C1 C 0.000 0.000 0.751 1
C2 C 0.067 0.025 0.750 1
```

***

5.
First-principles (PBE) data for a geometry-optimized TeC2 structure, as listed in Alexandria.

Computed properties:
VASP energy = -5.3859 eV/atom
ΔE_f (raw) = 524 kJ/mol of formula units
density = 4.4 Mg/m³
energy relative to the lowest polymorph listed for this composition = 2.68 eV/f.u.

CIF file:
```
data_TeC2
_chemical_formula_sum 'Te4 C8'
_symmetry_space_group_name_H-M 'C m c m'
_symmetry_Int_Tables_number 63
_symmetry_space_group_name_Hall '-C 2c 2'
_cell_length_a 4.652
_cell_length_b 17.332
_cell_length_c 2.849
_cell_angle_alpha 90.00
_cell_angle_beta 90.00
_cell_angle_gamma 90.00
loop_
_atom_site_label
_atom_site_type_symbol
_atom_site_fract_x
_atom_site_fract_y
_atom_site_fract_z
_atom_site_occupancy
Te1 Te 0.000 0.189 0.250 1
C1 C 0.000 0.280 0.750 1
C2 C 0.000 0.500 0.250 1
```

***

6.
First-principles (PBE) data for a geometry-optimized TeC2 structure, as listed in Alexandria.

Computed properties:
VASP energy = -6.0919 eV/atom
ΔE_f (raw) = 320 kJ/mol of formula units
density = 4.0 Mg/m³
energy relative to the lowest polymorph listed for this composition = 0.56 eV/f.u.

CIF file:
```
data_TeC2
_chemical_formula_sum 'Te4 C8'
_symmetry_space_group_name_H-M 'I 41/a m d'
_symmetry_Int_Tables_number 141
_cell_length_a 2.735
_cell_length_b 2.735
_cell_length_c 33.391
_cell_angle_alpha 90.00
_cell_angle_beta 90.00
_cell_angle_gamma 90.00
loop_
_symmetry_equiv_pos_as_xyz
'x,y,z'
'-x,-y,-z'
'-y+1/4,x+3/4,z+1/4'
'y+1/4,-x+3/4,-z+1/4'
'-x+1/2,-y,z+1/2'
'x+1/2,y,-z+1/2'
'y+1/4,-x+1/4,z+3/4'
'-y+1/4,x+1/4,-z+3/4'
'x,-y,-z'
'-x,y,z'
'-y+1/4,-x+1/4,-z+3/4'
'y+1/4,x+1/4,z+3/4'
'-x+1/2,y,-z+1/2'
'x+1/2,-y,z+1/2'
'y+1/4,x+3/4,-z+1/4'
'-y+1/4,-x+3/4,z+1/4'
'x+1/2,y+1/2,z+1/2'
'-x+1/2,-y+1/2,-z+1/2'
'-y+3/4,x+1/4,z+3/4'
'y+3/4,-x+1/4,-z+3/4'
'-x,-y+1/2,z'
'x,y+1/2,-z'
'y+3/4,-x+3/4,z+1/4'
'-y+3/4,x+3/4,-z+1/4'
'x+1/2,-y+1/2,-z+1/2'
'-x+1/2,y+1/2,z+1/2'
'-y+3/4,-x+3/4,-z+1/4'
'y+3/4,x+3/4,z+1/4'
'-x,y+1/2,-z'
'x,-y+1/2,z'
'y+3/4,x+1/4,-z+3/4'
'-y+3/4,-x+1/4,z+3/4'
loop_
_atom_site_label
_atom_site_type_symbol
_atom_site_fract_x
_atom_site_fract_y
_atom_site_fract_z
_atom_site_occupancy
Te1 Te 0.000 0.250 0.375 1
C1 C 0.000 0.250 0.000 1
```

***

7.
First-principles (PBE) data for a geometry-optimized TeC2 structure, as listed in Alexandria.

Computed properties:
VASP energy = -5.7319 eV/atom
ΔE_f (raw) = 424 kJ/mol of formula units
density = 6.0 Mg/m³
energy relative to the lowest polymorph listed for this composition = 1.64 eV/f.u.

CIF file:
```
data_TeC2
_chemical_formula_sum 'Te3 C6'
_symmetry_space_group_name_H-M 'R -3 m'
_symmetry_Int_Tables_number 166
_symmetry_space_group_name_Hall '-R 3 2"'
_cell_length_a 3.5421
_cell_length_b 3.5421
_cell_length_c 11.5792
_cell_angle_alpha 90.00
_cell_angle_beta 90.00
_cell_angle_gamma 120.00
loop_
_atom_site_label
_atom_site_type_symbol
_atom_site_fract_x
_atom_site_fract_y
_atom_site_fract_z
_atom_site_occupancy
Te1 Te 0.0000 0.0000 0.0000 1
C1 C 0.0000 0.0000 0.4411 1
```

***

8.
First-principles (PBE) data for a geometry-optimized TeC structure, as listed in Alexandria.

Computed properties:
VASP energy = -4.6357 eV/atom
ΔE_f (raw) = 299 kJ/mol of formula units
density = 6.1 Mg/m³
energy relative to the lowest polymorph listed for this composition = 1.58 eV/f.u.

CIF file:
```
data_TeC
_chemical_formula_sum 'Te6 C6'
_symmetry_space_group_name_H-M 'C 1 m 1'
_symmetry_Int_Tables_number 8
_symmetry_space_group_name_Hall 'C -2y'
_cell_length_a 12.696
_cell_length_b 3.396
_cell_length_c 5.688
_cell_angle_alpha 90.00
_cell_angle_beta 110.90
_cell_angle_gamma 90.00
loop_
_atom_site_label
_atom_site_type_symbol
_atom_site_fract_x
_atom_site_fract_y
_atom_site_fract_z
_atom_site_occupancy
Te1 Te 0.000 0.000 0.000 1
Te2 Te 0.140 0.500 0.653 1
Te3 Te 0.329 0.000 0.435 1
C1 C 0.112 0.500 0.016 1
C2 C 0.260 0.000 0.741 1
C3 C 0.437 0.500 0.595 1
```

***

Calculated density of states at the Fermi level, 0.5, 4.1, 4.3, 7.3, 3.0, 2.9, 2.1, 0.5 states/eV/cell (same order as the records).
Calculated magnetization, 0.000, 0.000, 0.000, 0.081, 0.019, 0.000, 0.000, 0.000 μB per atom (same order as the records).